P) DFT (PBE-GGA) results for a relaxed structure of TbYAu2.

Geometry as extended XYZ:
```
4
Lattice="-2.825 1.278 1.803 -3.131 -1.778 -3.648 -0.407 -4.447 2.516" Properties=species:S:1:pos:R:3 pbc="T T T"
Y -1.413 0.639 0.901
Tb -3.182 -2.473 0.335
Au -0.203 -2.224 1.258
Au -1.566 -0.889 -1.824
```

**Mass density**: 11.3 g/cm³
**Magnetization**: 0.000 μB/atom
**DOS(E_F)**: 0.513 states/eV per atom



Q) DFT (PBE-GGA) results for a relaxed structure of TbYAu2.

Geometry as extended XYZ:
```
4
Lattice="4.020 0.000 0.000 2.010 3.481 0.000 2.010 1.160 7.532" Properties=species:S:1:pos:R:3 pbc="T T T"
Tb 6.030 3.481 7.501
Y 4.020 2.321 3.790
Au 2.010 1.160 5.638
Au 2.010 1.160 1.902
```

**Mass density**: 10.1 g/cm³
**Magnetization**: 0.000 μB/atom
**DOS(E_F)**: 0.731 states/eV per atom



The structure with the most favorable energy is P); the runner-up is 130 meV/atom above it.



P) DFT (PBE-GGA) results for a relaxed structure of TbYAu2.

Geometry as extended XYZ:
```
4
Lattice="5.110 0.000 0.000 2.555 4.425 0.000 2.555 1.475 4.172" Properties=species:S:1:pos:R:3 pbc="T T T"
Y 5.110 2.950 2.086
Tb 0.000 0.000 0.000
Au 2.555 1.475 1.043
Au 7.665 4.425 3.129
```

**Mass density**: 11.3 g/cm³
**Magnetization**: 0.000 μB/atom
**DOS(E_F)**: 0.627 states/eV per atom



Q) DFT (PBE-GGA) results for a relaxed structure of TbYAu2.

Geometry as extended XYZ:
```
4
Lattice="3.504 0.000 -1.274 0.000 4.710 0.000 0.142 0.000 5.830" Properties=species:S:1:pos:R:3 pbc="T T T"
Tb 2.665 0.000 4.804
Y 1.617 2.355 1.920
Au 0.725 2.355 4.918
Au 3.561 0.000 1.815
```

**Mass density**: 11.0 g/cm³
**Magnetization**: 0.000 μB/atom
**DOS(E_F)**: 0.625 states/eV per atom



The structure with the most favorable energy is Q); the runner-up is 30 meV/atom above it.